VASP calculation (PBE) on a relaxed Co5Rh crystal.

abc: 2.5794 2.5794 10.4670
angles: 90.00 90.00 90.00
Space group P4/mmm (No. 123)
Symmetry-distinct sites (fractional):
Co 0.0000 0.0000 0.0000
Co 0.0000 0.0000 0.3191
Co 0.5000 0.5000 0.1603
Rh 0.5000 0.5000 0.5000

Results
The total DFT energy (no corrections) is -7.094 eV per atom.

---

VASP calculation (PBE) on a relaxed Li3CdRh2 crystal.

abc: 6.7405 7.6586 6.8886
angles: 90.00 98.80 90.00
Space group C2/c (No. 15)
Symmetry-distinct sites (fractional):
Li 0.0000 0.0683 0.2500
Li 0.2343 0.0889 0.0021
Cd 0.0000 0.4124 0.2500
Rh 0.1249 0.2533 0.6257

Results
The total DFT energy (no corrections) is -3.721 eV per atom.